Below is Sc2Tl2SbO6 after structural relaxation, with properties calculated at the PBE level.

Mass density (g cm⁻³): 5.91
Spin magnetization (μB/cell): 0.0
VASP energy (eV per atom): -6.74

a = 5.535 Å, b = 5.535 Å, c = 7.679 Å
α = 86.03°, β = 86.03°, γ = 120.14°
Sites, in units of the cell vectors:
Sc1 0.335 0.665 0.500
Sc2 0.665 0.335 0.500
Sb1 0.000 0.000 0.500
O1 0.029 0.710 0.364
O2 0.710 0.029 0.364
O3 0.342 0.342 0.369
O4 0.971 0.290 0.636
O5 0.290 0.971 0.636
O6 0.658 0.658 0.631
Tl1 0.835 0.165 0.000
Tl2 0.165 0.835 0.000

=====

Below is ScTlSb2O8 after structural relaxation, with properties calculated at the PBE level.

Mass density (g cm⁻³): 6.61
Spin magnetization (μB/cell): 0.0
VASP energy (eV per atom): -6.40

a = 4.932 Å, b = 4.927 Å, c = 6.426 Å
α = 90.00°, β = 90.00°, γ = 87.33°
Sites, in units of the cell vectors:
O1 0.324 0.323 0.500
O2 0.676 0.677 0.500
O3 0.791 0.211 0.234
O4 0.686 0.687 0.000
O5 0.314 0.313 0.000
O6 0.209 0.789 0.766
O7 0.791 0.211 0.766
O8 0.209 0.789 0.234
Sc1 0.000 0.000 0.000
Tl1 0.000 0.000 0.500
Sb1 0.500 0.500 0.754
Sb2 0.500 0.500 0.246

=====

Below is Sc4TlSbO after structural relaxation, with properties calculated at the PBE level.

Mass density (g cm⁻³): 6.05
Spin magnetization (μB/cell): 1.2
VASP energy (eV per atom): -6.48

a = 6.102 Å, b = 6.100 Å, c = 8.281 Å
α = 90.00°, β = 111.62°, γ = 90.00°
Sites, in units of the cell vectors:
Tl1 0.106 0.250 0.211
Tl2 0.894 0.750 0.789
Sc1 0.913 0.250 0.827
Sc2 0.500 0.000 0.500
Sc3 0.414 0.750 0.828
Sc4 0.087 0.750 0.173
Sc5 0.000 0.500 0.500
Sc6 0.586 0.250 0.172
Sc7 0.000 0.000 0.500
Sc8 0.500 0.500 0.500
O1 0.249 0.750 0.498
O2 0.751 0.250 0.502
Sb1 0.392 0.250 0.784
Sb2 0.608 0.750 0.216

=====

Below is ScUSbO6 after structural relaxation, with properties calculated at the PBE level.

Mass density (g cm⁻³): 6.48
Spin magnetization (μB/cell): 0.0
VASP energy (eV per atom): -8.36

a = 5.593 Å, b = 5.593 Å, c = 9.467 Å
α = 90.00°, β = 90.00°, γ = 120.00°
Sites, in units of the cell vectors:
O1 0.348 0.995 0.636
O2 0.348 0.352 0.864
O3 0.005 0.352 0.636
O4 0.648 0.652 0.636
O5 0.352 0.005 0.136
O6 0.652 0.648 0.136
O7 0.995 0.648 0.364
O8 0.652 0.005 0.364
O9 0.995 0.348 0.136
O10 0.005 0.652 0.864
O11 0.648 0.995 0.864
O12 0.352 0.348 0.364
U1 0.667 0.333 0.250
U2 0.333 0.667 0.750
Sc1 0.667 0.333 0.750
Sc2 0.333 0.667 0.250
Sb1 0.000 0.000 0.000
Sb2 0.000 0.000 0.500

=====

For reference, calculated volume by record: 201 156 287 257 Å³/cell.